[1]
# CaBeTl4 GGA-PBE optimized geometry
data_CaBeTl4
_space_group_name_H-M_alt 'F -4 3 m'
_space_group_IT_number 216
_space_group_name_Hall 'F -4 2 3'
_cell_length_a 8.9799
_cell_length_b 8.9799
_cell_length_c 8.9799
_cell_angle_alpha 90.00
_cell_angle_beta 90.00
_cell_angle_gamma 90.00
loop_
_atom_site_label
_atom_site_type_symbol
_atom_site_fract_x
_atom_site_fract_y
_atom_site_fract_z
Ca1 Ca 0.0000 0.0000 0.0000
Be1 Be 0.2500 0.2500 0.2500
Tl1 Tl 0.1246 0.1246 0.6246
# Calculated total energy, eV/atom: -2.125
# Calculated formation energy, eV/atom: 0.407
# Crystal system: cubic
# Total moment, μB per formula unit: 0.00

[2]
# Li2PdPt3 GGA-PBE optimized geometry
data_Li2PdPt3
_space_group_name_H-M_alt 'F d d d'
_space_group_IT_number 70
_cell_length_a 5.5193
_cell_length_b 7.6398
_cell_length_c 16.6044
_cell_angle_alpha 90.00
_cell_angle_beta 90.00
_cell_angle_gamma 90.00
loop_
_space_group_symop_operation_xyz
'x,y,z'
'-x,-y,-z'
'-x+1/4,-y+1/4,z'
'x+1/4,y+1/4,-z'
'x,-y+1/4,-z+1/4'
'-x,y+1/4,z+1/4'
'-x+1/4,y,-z+1/4'
'x+1/4,-y,z+1/4'
'x,y+1/2,z+1/2'
'-x,-y+1/2,-z+1/2'
'-x+1/4,-y+3/4,z+1/2'
'x+1/4,y+3/4,-z+1/2'
'x,-y+3/4,-z+3/4'
'-x,y+3/4,z+3/4'
'-x+1/4,y+1/2,-z+3/4'
'x+1/4,-y+1/2,z+3/4'
'x+1/2,y,z+1/2'
'-x+1/2,-y,-z+1/2'
'-x+3/4,-y+1/4,z+1/2'
'x+3/4,y+1/4,-z+1/2'
'x+1/2,-y+1/4,-z+3/4'
'-x+1/2,y+1/4,z+3/4'
'-x+3/4,y,-z+3/4'
'x+3/4,-y,z+3/4'
'x+1/2,y+1/2,z'
'-x+1/2,-y+1/2,-z'
'-x+3/4,-y+3/4,z'
'x+3/4,y+3/4,-z'
'x+1/2,-y+3/4,-z+1/4'
'-x+1/2,y+3/4,z+1/4'
'-x+3/4,y+1/2,-z+1/4'
'x+3/4,-y+1/2,z+1/4'
loop_
_atom_site_label
_atom_site_type_symbol
_atom_site_fract_x
_atom_site_fract_y
_atom_site_fract_z
Li1 Li 0.1250 0.1250 0.2930
Pd1 Pd 0.1250 0.1250 0.1250
Pt1 Pt 0.1250 0.1250 0.4627
Pt2 Pt 0.1250 0.1250 0.6250
# Calculated total energy, eV/atom: -4.933
# Calculated formation energy, eV/atom: -0.409
# Crystal system: orthorhombic
# Total moment, μB per formula unit: 0.00

[3]
# TiS3Br GGA-PBE optimized geometry
data_TiS3Br
_space_group_name_H-M_alt 'P m -3 m'
_space_group_IT_number 221
_space_group_name_Hall '-P 4 2 3'
_cell_length_a 4.7292
_cell_length_b 4.7292
_cell_length_c 4.7292
_cell_angle_alpha 90.00
_cell_angle_beta 90.00
_cell_angle_gamma 90.00
loop_
_atom_site_label
_atom_site_type_symbol
_atom_site_fract_x
_atom_site_fract_y
_atom_site_fract_z
Ti1 Ti 0.0000 0.0000 0.0000
S1 S 0.0000 0.0000 0.5000
Br1 Br 0.5000 0.5000 0.5000
# Calculated total energy, eV/atom: -4.537
# ΔE_f (raw), eV per atom: -0.15
# Crystal system: cubic
# Relative energy among the computed polymorphs, eV per atom: 0.611
# Total moment, μB per formula unit: 0.00

[4]
# GaBP2Cl GGA-PBE optimized geometry
data_GaBP2Cl
_space_group_name_H-M_alt 'P 4/m m m'
_space_group_IT_number 123
_space_group_name_Hall '-P 4 2'
_cell_length_a 3.9104
_cell_length_b 3.9104
_cell_length_c 7.1069
_cell_angle_alpha 90.00
_cell_angle_beta 90.00
_cell_angle_gamma 90.00
loop_
_atom_site_label
_atom_site_type_symbol
_atom_site_fract_x
_atom_site_fract_y
_atom_site_fract_z
Ga1 Ga 0.0000 0.0000 0.0000
B1 B 0.5000 0.5000 0.5000
P1 P 0.0000 0.5000 0.5000
Cl1 Cl 0.5000 0.5000 0.0000
# Calculated total energy, eV/atom: -3.945
# ΔE_f (raw), eV per atom: 0.53
# Crystal system: tetragonal
# Relative energy among the computed polymorphs, eV per atom: 0.000
# Total moment, μB per formula unit: 0.00

[5]
# La2ZnCu GGA-PBE optimized geometry
data_La2ZnCu
_space_group_name_H-M_alt 'I m m m'
_space_group_IT_number 71
_space_group_name_Hall '-I 2 2'
_cell_length_a 3.6189
_cell_length_b 3.6406
_cell_length_c 14.5563
_cell_angle_alpha 90.00
_cell_angle_beta 90.00
_cell_angle_gamma 90.00
loop_
_atom_site_label
_atom_site_type_symbol
_atom_site_fract_x
_atom_site_fract_y
_atom_site_fract_z
La1 La 0.0000 0.0000 0.1770
Zn1 Zn 0.0000 0.0000 0.5000
Cu1 Cu 0.0000 0.0000 0.0000
# Calculated total energy, eV/atom: -3.538
# Calculated formation energy, eV/atom: 0.268
# Crystal system: orthorhombic
# Total moment, μB per formula unit: 0.00

[6]
# SrIn2SnI6 GGA-PBE optimized geometry
data_SrIn2SnI6
_space_group_name_H-M_alt 'R 3'
_space_group_IT_number 146
_space_group_name_Hall 'R 3'
_cell_length_a 8.5606
_cell_length_b 8.5606
_cell_length_c 22.3253
_cell_angle_alpha 90.00
_cell_angle_beta 90.00
_cell_angle_gamma 120.00
loop_
_atom_site_label
_atom_site_type_symbol
_atom_site_fract_x
_atom_site_fract_y
_atom_site_fract_z
Sr1 Sr 0.0000 0.0000 0.0000
In1 In 0.0000 0.0000 0.3014
In2 In 0.0000 0.0000 0.8023
Sn1 Sn 0.0000 0.0000 0.4987
I1 I 0.0522 0.3420 0.5740
I2 I 0.0581 0.7026 0.0751
# Calculated total energy, eV/atom: -2.865
# ΔE_f (raw), eV per atom: -0.82
# Crystal system: trigonal
# Total moment, μB per formula unit: 0.00